1.
Compound: NbSeI2
Source: Alexandria via LeMat-Bulk
Functional: PBE
Structure: relaxed

As for the symmetry: Fm-3m, No. 225. The value obtained for the uncorrected formation energy is 2.3 eV per formula unit. The total energy comes out at -3.599 eV/atom. The density of states at the Fermi level is 0.667 states/eV per atom. As for the magnetization: 0.874 μB per cell. The value obtained for the energy above the most stable polymorph in this dataset is 1.005 eV per atom.

a = 5.145 Å, b = 5.145 Å, c = 5.145 Å
α = 60.00°, β = 60.00°, γ = 60.00°
Last column: magnetic moment on the atom in μB.
Fractional coordinates of all 4 atoms:
Se 0.000 0.000 0.000  -0.24
I 0.250 0.250 0.250  -0.09
I 0.750 0.750 0.750  -0.09
Nb 0.500 0.500 0.500  1.20

2.
Compound: NbSe4I
Source: Alexandria via LeMat-Bulk
Functional: PBE
Structure: relaxed

As for the symmetry: C2/m, No. 12. The value obtained for the uncorrected formation energy is -0.7 eV per formula unit. The total energy comes out at -4.377 eV/atom. The density of states at the Fermi level is 0.835 states/eV per atom. As for the magnetization: 0.000 μB per cell.

a = 4.694 Å, b = 4.694 Å, c = 8.972 Å
α = 91.97°, β = 91.97°, γ = 58.79°
Fractional coordinates of all 6 atoms:
Nb 0.000 0.000 0.000
Se 0.661 0.661 0.076
Se 0.106 0.106 0.733
Se 0.894 0.894 0.267
Se 0.339 0.339 0.924
I 0.500 0.500 0.500

3.
Compound: NbSeI3
Source: Alexandria via LeMat-Bulk
Functional: PBE
Structure: relaxed

As for the symmetry: Pm-3m, No. 221. The value obtained for the uncorrected formation energy is 1.7 eV per formula unit. The total energy comes out at -3.310 eV/atom. The density of states at the Fermi level is 1.255 states/eV per atom. As for the magnetization: 0.000 μB per cell.

a = 5.497 Å, b = 5.497 Å, c = 5.497 Å
α = 90.00°, β = 90.00°, γ = 90.00°
Fractional coordinates of all 5 atoms:
I 0.000 0.500 0.000
I 0.500 0.000 0.000
I 0.000 0.000 0.500
Nb 0.000 0.000 0.000
Se 0.500 0.500 0.500

4.
Compound: Nb4Se8I
Source: Alexandria via LeMat-Bulk
Functional: PBE
Structure: relaxed

As for the symmetry: R-3m, No. 166. The value obtained for the uncorrected formation energy is -9.5 eV per formula unit. The total energy comes out at -6.096 eV/atom. The density of states at the Fermi level is 0.739 states/eV per atom. As for the magnetization: 0.000 μB per cell.

a = 6.932 Å, b = 6.932 Å, c = 9.924 Å
α = 69.56°, β = 69.56°, γ = 60.00°
Fractional coordinates of all 13 atoms:
Se 0.230 0.727 0.814
Se 0.273 0.770 0.186
Se 0.770 0.770 0.186
Se 0.271 0.271 0.187
Se 0.727 0.230 0.814
Se 0.729 0.729 0.813
Se 0.770 0.273 0.186
Se 0.230 0.230 0.814
Nb 0.500 0.500 0.000
Nb 0.000 0.500 0.000
Nb 0.500 0.000 0.000
Nb 0.000 0.000 0.000
I 0.500 0.500 0.500

5.
Compound: NbSeI2
Source: Alexandria via LeMat-Bulk
Functional: PBE
Structure: relaxed

As for the symmetry: Imm2, No. 44. The value obtained for the uncorrected formation energy is -1.8 eV per formula unit. The total energy comes out at -4.605 eV/atom. The density of states at the Fermi level is 0.373 states/eV per atom. As for the magnetization: 0.000 μB per cell. The value obtained for the energy above the most stable polymorph in this dataset is 0.000 eV per atom.

a = 3.808 Å, b = 5.112 Å, c = 7.958 Å
α = 108.73°, β = 103.84°, γ = 90.00°
Fractional coordinates of all 4 atoms:
Se 0.000 0.506 0.000
I 0.357 0.833 0.713
I 0.643 0.119 0.287
Nb 0.000 0.049 0.000

6.
Compound: Nb2Se2I
Source: Alexandria via LeMat-Bulk
Functional: PBE
Structure: relaxed

As for the symmetry: I4_1md, No. 109. The value obtained for the uncorrected formation energy is -1.4 eV per formula unit. The total energy comes out at -6.016 eV/atom. The density of states at the Fermi level is 1.059 states/eV per atom. As for the magnetization: 0.000 μB per cell.

a = 7.010 Å, b = 7.010 Å, c = 7.148 Å
α = 119.36°, β = 119.36°, γ = 90.00°
Fractional coordinates of all 10 atoms:
Nb 0.424 0.654 0.848
Nb 0.904 0.174 0.348
Nb 0.444 0.174 0.348
Nb 0.424 0.194 0.848
I 0.229 0.729 0.459
I 0.979 0.979 0.959
Se 0.677 0.452 0.353
Se 0.677 0.902 0.353
Se 0.152 0.427 0.853
Se 0.702 0.427 0.853

7.
Compound: NbSe2I2
Source: Alexandria via LeMat-Bulk
Functional: PBE
Structure: relaxed

As for the symmetry: C2/m, No. 12. The value obtained for the uncorrected formation energy is -2.8 eV per formula unit. The total energy comes out at -4.597 eV/atom. The density of states at the Fermi level is 0.000 states/eV per atom. As for the magnetization: 0.000 μB per cell.

a = 7.256 Å, b = 7.090 Å, c = 8.178 Å
α = 79.52°, β = 69.17°, γ = 59.22°
Fractional coordinates of all 10 atoms:
I 0.432 0.591 0.217
I 0.023 0.409 0.217
I 0.977 0.591 0.783
I 0.568 0.409 0.783
Nb 0.878 0.244 0.000
Nb 0.122 0.756 0.000
Se 0.129 0.000 0.712
Se 0.679 0.000 0.114
Se 0.871 0.000 0.288
Se 0.321 0.000 0.886

8.
Compound: NbSeI2
Source: Alexandria via LeMat-Bulk
Functional: PBE
Structure: relaxed

As for the symmetry: C2/m, No. 12. The value obtained for the uncorrected formation energy is -1.7 eV per formula unit. The total energy comes out at -4.593 eV/atom. The density of states at the Fermi level is 0.381 states/eV per atom. As for the magnetization: 0.000 μB per cell. The value obtained for the energy above the most stable polymorph in this dataset is 0.012 eV per atom.

a = 3.850 Å, b = 4.951 Å, c = 8.383 Å
α = 89.02°, β = 76.76°, γ = 90.00°
Fractional coordinates of all 4 atoms:
Nb 0.000 0.000 0.000
I 0.630 0.008 0.740
I 0.370 0.993 0.260
Se 0.000 0.500 0.000

9.
Compound: Nb10Se40I3
Source: Alexandria via LeMat-Bulk
Functional: PBE
Structure: relaxed

As for the symmetry: P4/mcc, No. 124. The value obtained for the uncorrected formation energy is -30.3 eV per formula unit. The total energy comes out at -5.190 eV/atom. The density of states at the Fermi level is 0.095 states/eV per atom. As for the magnetization: 0.000 μB per cell.

a = 9.737 Å, b = 9.737 Å, c = 32.303 Å
α = 90.00°, β = 90.00°, γ = 90.00°
Fractional coordinates of all 106 atoms:
Nb 0.000 0.500 0.049
Nb 0.500 0.000 0.549
Nb 0.500 0.000 0.250
Nb 0.500 0.000 0.151
Nb 0.500 0.000 0.849
Nb 0.500 0.000 0.049
Nb 0.000 0.500 0.349
Nb 0.000 0.500 0.250
Nb 0.500 0.000 0.651
Nb 0.500 0.000 0.951
Nb 0.500 0.000 0.451
Nb 0.000 0.500 0.451
Nb 0.000 0.500 0.750
Nb 0.000 0.500 0.951
Nb 0.000 0.500 0.849
Nb 0.000 0.500 0.549
Nb 0.500 0.000 0.349
Nb 0.500 0.000 0.750
Nb 0.000 0.500 0.151
Nb 0.000 0.500 0.651
Se 0.515 0.221 0.000
Se 0.790 0.552 0.603
Se 0.515 0.779 0.500
Se 0.790 0.448 0.103
Se 0.448 0.790 0.397
Se 0.812 0.380 0.296
Se 0.898 0.698 0.500
Se 0.964 0.716 0.698
Se 0.874 0.320 0.403
Se 0.320 0.874 0.097
Se 0.380 0.812 0.204
Se 0.620 0.812 0.296
Se 0.380 0.812 0.796
Se 0.874 0.680 0.903
Se 0.680 0.874 0.403
Se 0.812 0.620 0.796
Se 0.102 0.698 0.000
Se 0.284 0.036 0.198
Se 0.126 0.320 0.903
Se 0.036 0.284 0.698
Se 0.126 0.680 0.597
Se 0.790 0.448 0.897
Se 0.812 0.620 0.204
Se 0.716 0.036 0.698
Se 0.898 0.302 0.000
Se 0.448 0.790 0.603
Se 0.036 0.716 0.802
Se 0.552 0.790 0.103
Se 0.716 0.964 0.198
Se 0.874 0.320 0.597
Se 0.380 0.188 0.704
Se 0.320 0.874 0.903
Se 0.284 0.964 0.698
Se 0.302 0.898 0.500
Se 0.552 0.790 0.897
Se 0.716 0.036 0.302
Se 0.036 0.284 0.302
Se 0.779 0.515 0.000
Se 0.680 0.874 0.597
Se 0.302 0.102 0.000
Se 0.036 0.716 0.198
Se 0.210 0.448 0.397
Se 0.380 0.188 0.296
Se 0.320 0.126 0.403
Se 0.964 0.284 0.802
Se 0.552 0.210 0.603
Se 0.680 0.126 0.097
Se 0.620 0.188 0.796
Se 0.620 0.812 0.704
Se 0.188 0.380 0.796
Se 0.680 0.126 0.903
Se 0.485 0.779 0.000
Se 0.698 0.898 0.000
Se 0.188 0.380 0.204
Se 0.964 0.284 0.198
Se 0.210 0.552 0.897
Se 0.448 0.210 0.897
Se 0.812 0.380 0.704
Se 0.874 0.680 0.097
Se 0.620 0.188 0.204
Se 0.188 0.620 0.296
Se 0.210 0.552 0.103
Se 0.188 0.620 0.704
Se 0.552 0.210 0.397
Se 0.210 0.448 0.603
Se 0.284 0.964 0.302
Se 0.779 0.485 0.500
Se 0.102 0.302 0.500
Se 0.126 0.680 0.403
Se 0.126 0.320 0.097
Se 0.284 0.036 0.802
Se 0.320 0.126 0.597
Se 0.790 0.552 0.397
Se 0.964 0.716 0.302
Se 0.448 0.210 0.103
Se 0.716 0.964 0.802
Se 0.485 0.221 0.500
Se 0.221 0.485 0.000
Se 0.698 0.102 0.500
Se 0.221 0.515 0.500
I 0.000 0.000 0.417
I 0.000 0.000 0.583
I 0.000 0.000 0.083
I 0.000 0.000 0.917
I 0.500 0.500 0.250
I 0.500 0.500 0.750

10.
Compound: NbSeI2
Source: Alexandria via LeMat-Bulk
Functional: PBE
Structure: relaxed

As for the symmetry: I-42d, No. 122. The value obtained for the uncorrected formation energy is -0.9 eV per formula unit. The total energy comes out at -4.399 eV/atom. The density of states at the Fermi level is 0.203 states/eV per atom. As for the magnetization: 2.000 μB per cell. The value obtained for the energy above the most stable polymorph in this dataset is 0.205 eV per atom.

a = 10.513 Å, b = 10.513 Å, c = 7.839 Å
α = 47.89°, β = 47.89°, γ = 90.00°
Last column: magnetic moment on the atom in μB.
Fractional coordinates of all 8 atoms:
Nb 0.000 0.000 0.000  1.02
Nb 0.750 0.250 0.500  1.02
I 0.875 0.021 0.750  -0.03
I 0.771 0.125 0.250  -0.03
I 0.375 0.229 0.750  -0.03
I 0.979 0.625 0.250  -0.03
Se 0.500 0.500 0.000  -0.12
Se 0.250 0.750 0.500  -0.12

11.
Compound: NbSeI3
Source: Alexandria via LeMat-Bulk
Functional: PBE
Structure: relaxed

As for the symmetry: C2/c, No. 15. The value obtained for the uncorrected formation energy is -2.6 eV per formula unit. The total energy comes out at -4.162 eV/atom. As for the magnetization: 0.000 μB per cell.

a = 8.437 Å, b = 8.437 Å, c = 13.801 Å
α = 86.34°, β = 86.34°, γ = 128.20°
Fractional coordinates of all 20 atoms:
I 0.230 0.504 0.412
I 0.770 0.496 0.588
I 0.801 0.706 0.305
I 0.496 0.770 0.088
I 0.945 0.757 0.033
I 0.757 0.945 0.533
I 0.243 0.055 0.467
I 0.199 0.294 0.695
I 0.055 0.243 0.967
I 0.504 0.230 0.912
I 0.706 0.801 0.805
I 0.294 0.199 0.195
Nb 0.128 0.008 0.845
Nb 0.992 0.872 0.655
Nb 0.872 0.992 0.155
Nb 0.008 0.128 0.345
Se 0.967 0.331 0.206
Se 0.331 0.967 0.706
Se 0.033 0.669 0.794
Se 0.669 0.033 0.294

12.
Compound: Nb3Se12I
Source: Alexandria via LeMat-Bulk
Functional: PBE
Structure: relaxed

As for the symmetry: P4/mnc, No. 128. The value obtained for the uncorrected formation energy is -9.2 eV per formula unit. The total energy comes out at -5.170 eV/atom. The density of states at the Fermi level is 0.059 states/eV per atom. As for the magnetization: 0.000 μB per cell.

a = 9.748 Å, b = 9.748 Å, c = 19.384 Å
α = 90.00°, β = 90.00°, γ = 90.00°
Fractional coordinates of all 64 atoms:
Nb 0.500 0.000 0.250
Nb 0.500 0.000 0.420
Nb 0.500 0.000 0.580
Nb 0.000 0.500 0.750
Nb 0.000 0.500 0.080
Nb 0.500 0.000 0.080
Nb 0.500 0.000 0.920
Nb 0.000 0.500 0.250
Nb 0.500 0.000 0.750
Nb 0.000 0.500 0.580
Nb 0.000 0.500 0.920
Nb 0.000 0.500 0.420
Se 0.125 0.317 0.161
Se 0.548 0.789 0.172
Se 0.817 0.625 0.661
Se 0.105 0.697 0.000
Se 0.548 0.789 0.828
Se 0.516 0.221 0.000
Se 0.211 0.548 0.828
Se 0.789 0.452 0.172
Se 0.789 0.452 0.828
Se 0.303 0.105 0.000
Se 0.895 0.303 0.000
Se 0.221 0.484 0.000
Se 0.697 0.895 0.000
Se 0.375 0.817 0.339
Se 0.952 0.289 0.328
Se 0.683 0.125 0.161
Se 0.279 0.984 0.500
Se 0.625 0.183 0.339
Se 0.711 0.952 0.672
Se 0.711 0.952 0.328
Se 0.875 0.683 0.839
Se 0.211 0.548 0.172
Se 0.395 0.197 0.500
Se 0.952 0.289 0.672
Se 0.048 0.711 0.328
Se 0.289 0.048 0.328
Se 0.197 0.605 0.500
Se 0.048 0.711 0.672
Se 0.183 0.375 0.661
Se 0.817 0.625 0.339
Se 0.452 0.211 0.828
Se 0.721 0.016 0.500
Se 0.125 0.317 0.839
Se 0.183 0.375 0.339
Se 0.289 0.048 0.672
Se 0.779 0.516 0.000
Se 0.484 0.779 0.000
Se 0.016 0.279 0.500
Se 0.984 0.721 0.500
Se 0.452 0.211 0.172
Se 0.683 0.125 0.839
Se 0.625 0.183 0.661
Se 0.317 0.875 0.161
Se 0.375 0.817 0.661
Se 0.875 0.683 0.161
Se 0.605 0.803 0.500
Se 0.317 0.875 0.839
Se 0.803 0.395 0.500
I 0.500 0.500 0.636
I 0.000 0.000 0.864
I 0.500 0.500 0.364
I 0.000 0.000 0.136